Density functional theory data (PBE with a Hubbard U) for an optimized crystal structure of Ca3W2O7.

POSCAR file:
```
Ca3W2O7
1.0
9.849 -2.814 0.000
9.849 2.814 0.000
0.000 0.000 5.818
Ca W O
6 4 14
Direct
0.050 0.569 0.390
0.241 0.759 0.500
0.431 0.950 0.390
0.569 0.050 0.890
0.759 0.241 0.000
0.950 0.431 0.890
0.150 0.648 0.948
0.352 0.850 0.948
0.648 0.150 0.448
0.850 0.352 0.448
0.030 0.130 0.758
0.043 0.358 0.486
0.130 0.030 0.258
0.329 0.430 0.640
0.355 0.645 0.900
0.358 0.043 0.986
0.430 0.329 0.140
0.570 0.671 0.640
0.642 0.957 0.486
0.645 0.355 0.400
0.671 0.570 0.140
0.870 0.970 0.758
0.957 0.642 0.986
0.970 0.870 0.258
```

Values from the calculation:
space-group type = Cmc2_1, No. 36
raw total energy = -7.1373 eV/atom